Below is TlCdGaS2 after structural relaxation, with properties calculated at the PBE level.

Cell: 5.1138 5.5552 5.1138 Å, 90.00 90.00 90.00°
With the nearest neighbours (Å) after each atom.
Positions (direct):
1 S 0.0000 0.0000 0.5000  2 Cd 2.56
2 S 0.5000 0.0000 0.0000  2 Cd 2.56
3 Ga 0.5000 0.5000 0.5000  4 Tl 3.62, 8 S 3.78
4 Cd 0.0000 0.0000 0.0000  4 S 2.56, 2 Tl 2.78
5 Tl 0.0000 0.5000 0.0000  2 Cd 2.78

## Properties
Its total magnetization is 0.000 μB per formula unit. As for the symmetry: P4/mmm, No. 123. The uncorrected energy is -2.620 eV/atom.

Below is CdGaSb after structural relaxation, with properties calculated at the PBE level.

Cell: 4.9471 4.9471 4.9471 Å, 60.00 60.00 60.00°
With the nearest neighbours (Å) after each atom.
Positions (direct):
1 Ga 0.0000 0.0000 0.0000  4 Sb 3.03
2 Sb 0.2500 0.2500 0.2500  4 Cd 3.03, 4 Ga 3.03
3 Cd 0.5000 0.5000 0.5000  4 Sb 3.03

## Properties
Its total magnetization is 0.000 μB per formula unit. As for the symmetry: F-43m, No. 216. The uncorrected energy is -2.638 eV/atom.

Below is CdGa2Sb2 after structural relaxation, with properties calculated at the PBE level.

Cell: 8.4982 8.4982 3.4587 Å, 90.00 90.00 90.00°
With the nearest neighbours (Å) after each atom.
Positions (direct):
1 Cd 0.5000 0.5000 0.0000  4 Sb 3.17, 2 Cd 3.46
2 Cd 0.0000 0.0000 0.0000  4 Sb 3.17, 2 Cd 3.46
3 Ga 0.1314 0.6314 0.5000  6 Sb 2.98-3.08, 1 Ga 3.16
4 Ga 0.8686 0.3686 0.5000  6 Sb 2.98-3.08, 1 Ga 3.16
5 Ga 0.3686 0.1314 0.5000  6 Sb 2.98-3.08, 1 Ga 3.16
6 Ga 0.6314 0.8686 0.5000  6 Sb 2.98-3.08, 1 Ga 3.16
7 Sb 0.1664 0.3336 0.0000  6 Ga 2.98-3.08, 2 Cd 3.17
8 Sb 0.3336 0.8336 0.0000  6 Ga 2.98-3.08, 2 Cd 3.17
9 Sb 0.6664 0.1664 0.0000  6 Ga 2.98-3.08, 2 Cd 3.17
10 Sb 0.8336 0.6664 0.0000  6 Ga 2.98-3.08, 2 Cd 3.17

## Properties
Its total magnetization is 0.000 μB per formula unit. As for the symmetry: P4/mbm, No. 127. Its energy above the most stable polymorph in this dataset is 17.4 meV per atom.

Below is CdGa2Sb2 after structural relaxation, with properties calculated at the PBE level.

Cell: 5.0380 5.0380 6.2472 Å, 66.22 66.22 90.00°
With the nearest neighbours (Å) after each atom.
Positions (direct):
1 Sb 0.2500 0.7500 0.5000  4 Ga 2.85
2 Sb 0.7500 0.2500 0.5000  4 Ga 2.85
3 Ga 0.6202 0.6202 0.7596  1 Ga 2.47
4 Ga 0.3798 0.3798 0.2404  1 Ga 2.47
5 Cd 0.0000 0.0000 0.0000  8 Sb 3.60, 10 Ga 3.77-3.90

## Properties
Its total magnetization is 0.000 μB per formula unit. As for the symmetry: I4/mmm, No. 139. Its energy above the most stable polymorph in this dataset is 36.7 meV per atom.